Crystalline CoTePbO at its relaxed geometry, computed with PBE+U.

Values from the calculation:
The total energy is -4.705 eV per atom. Its space-group type is Pca2_1, No. 29. The crystal system is orthorhombic. The value obtained for the offset from the most stable computed form is 0.080 eV/atom.

Unit cell a=7.245 b=7.644 c=6.841 alpha=90.00 beta=90.00 gamma=90.00
Positions (direct):
Co1 0.097 0.164 0.000
Co2 0.403 0.164 0.500
Co3 0.597 0.836 0.000
Co4 0.903 0.836 0.500
Te1 0.054 0.135 0.612
Te2 0.446 0.135 0.112
Te3 0.554 0.865 0.612
Te4 0.946 0.865 0.112
Pb1 0.161 0.585 0.872
Pb2 0.339 0.585 0.372
Pb3 0.661 0.415 0.872
Pb4 0.839 0.415 0.372
O1 0.006 0.386 0.073
O2 0.494 0.386 0.573
O3 0.506 0.614 0.073
O4 0.994 0.614 0.573